No. 1
DFT (PBE-GGA) results for an optimized crystal structure of KCuSe2.

```
4
Lattice="4.606 0.000 0.000 0.000 4.606 0.000 0.000 0.000 4.172" Properties=species:S:1:pos:R:3 pbc="T T T"
K 0.000 0.000 0.000
Cu 2.303 2.303 0.000
Se 0.000 2.303 2.086
Se 2.303 0.000 2.086
```

## Properties
- theoretical density (g/cm³) = 4.89
- magnetic moment (μB per cell) = 0.00
- N(E_F) (states/eV per atom) = 0.48
- E_form (uncorrected) (eV per atom) = 0.04
- electronic total energy (eV/cell) = -12.0
- crystal system = tetragonal

No. 2
DFT (PBE-GGA) results for an optimized crystal structure of ZnFe2Co.

```
4
Lattice="-1.828 1.828 3.587 1.828 -1.828 3.587 1.828 1.828 -3.587" Properties=species:S:1:pos:R:3 pbc="T T T"
Zn 0.000 0.000 0.000
Fe 1.828 0.000 1.793
Fe 0.000 1.828 1.793
Co 0.000 0.000 3.587
```

## Properties
- theoretical density (g/cm³) = 8.17
- magnetic moment (μB per cell) = 6.65
- N(E_F) (states/eV per atom) = 0.64
- calculated formation energy (meV/atom) = 18
- electronic total energy (eV/cell) = -25.2
- crystal system = tetragonal

No. 3
DFT (PBE-GGA) results for an optimized crystal structure of PmPrNdHo.

```
4
Lattice="0.000 4.093 4.093 4.093 0.000 4.093 4.093 4.093 0.000" Properties=species:S:1:pos:R:3 pbc="T T T"
Pm 0.000 0.000 0.000
Pr 2.046 2.046 2.046
Nd 6.139 6.139 6.139
Ho 4.093 4.093 4.093
```

## Properties
- theoretical density (g/cm³) = 7.21
- magnetic moment (μB per cell) = 0.00
- offset from the most stable computed form (meV/atom) = 113
- N(E_F) (states/eV per atom) = 2.22
- calculated formation energy (meV/atom) = 125
- electronic total energy (eV/cell) = -18.4
- crystal system = cubic

No. 4
DFT (PBE-GGA) results for an optimized crystal structure of Zn2CuW.

```
4
Lattice="-1.337 2.341 4.556 1.337 -2.341 4.556 1.337 2.341 -4.556" Properties=species:S:1:pos:R:3 pbc="T T T"
Zn 0.000 0.000 2.128
Zn 0.000 0.000 6.985
Cu 1.337 0.000 0.000
W 0.000 2.341 0.000
```

## Properties
- theoretical density (g/cm³) = 11.01
- magnetic moment (μB per cell) = 0.00
- offset from the most stable computed form (meV/atom) = 181
- N(E_F) (states/eV per atom) = 0.60
- calculated formation energy (meV/atom) = 285
- electronic total energy (eV/cell) = -18.5
- crystal system = orthorhombic

No. 5
DFT (PBE-GGA) results for an optimized crystal structure of Ac2BeSn4Pt3.

```
10
Lattice="4.646 0.000 0.000 0.000 4.646 0.000 0.000 0.000 10.902" Properties=species:S:1:pos:R:3 pbc="T T T"
Ac 0.000 2.323 2.611
Ac 2.323 0.000 8.291
Be 2.323 2.323 0.000
Sn 0.000 0.000 5.451
Sn 0.000 2.323 9.568
Sn 2.323 0.000 1.334
Sn 2.323 2.323 5.451
Pt 0.000 0.000 0.000
Pt 0.000 2.323 6.886
Pt 2.323 0.000 4.017
```

## Properties
- theoretical density (g/cm³) = 10.75
- magnetic moment (μB per cell) = 0.00
- N(E_F) (states/eV per atom) = 0.38
- calculated formation energy (meV/atom) = -753
- electronic total energy (eV/cell) = -53.6
- crystal system = tetragonal

No. 6
DFT (PBE-GGA) results for an optimized crystal structure of LiY2CdAu4.

```
8
Lattice="2.464 1.423 7.944 -2.464 1.423 7.944 0.000 -2.845 7.944" Properties=species:S:1:pos:R:3 pbc="T T T"
Li 0.000 0.000 0.000
Y 0.000 0.000 5.912
Y 0.000 0.000 17.919
Cd 0.000 0.000 11.915
Au 0.000 0.000 2.852
Au 0.000 0.000 8.863
Au 0.000 0.000 14.968
Au 0.000 0.000 20.978
```

## Properties
- theoretical density (g/cm³) = 10.79
- magnetic moment (μB per cell) = 0.00
- N(E_F) (states/eV per atom) = 0.70
- calculated formation energy (meV/atom) = -693
- electronic total energy (eV/cell) = -34.4
- crystal system = trigonal